A plane-wave DFT calculation with GGA-PBE was carried out for a relaxed structure of ReMoOs.

Geometry as POSCAR:
```
ReMoOs
1.0
2.763 0.000 0.000
-1.382 2.393 0.000
0.000 0.000 6.857
Re Mo Os
1 1 1
Cartesian
0.000 0.000 0.000
1.382 0.798 2.379
0.000 1.595 4.660
```

Energy relative to the lowest polymorph listed for this composition   28.6 kJ/mol of formula units
M_tot   0.0 μB/cell
ΔH_f (0 K)   0.14 eV per atom